This record from the Alexandria database describes a relaxed LaInS2N crystal. The functional is PBE.

abc: 5.6956 5.6956 4.3714
angles: 90.00 90.00 90.00
Fractional coordinates of all 5 atoms:
S  0.0000  0.5000  0.0000
N  0.0000  0.0000  0.5000
In  0.5000  0.5000  0.5000
La  0.0000  0.0000  0.0000
S  0.5000  0.0000  0.0000

Density of states at the Fermi level in states/eV/f.u.: 5.4
Formation energy (no corrections) in eV per atom: 0.03
Space-group type: P4/mmm (123)
Total magnetization in μB/atom: 0.421